This record from Alexandria via LeMat-Bulk describes a relaxed CsSc2CdW crystal. The functional is PBE.

Properties
Space group ... P4/mmm
E_tot ... -4.06 eV per atom

Lattice parameters (Å, degrees): 5.4763 5.3550 5.4763 90.00 90.00 90.00
Last column: nearest neighbours and their distance in Å.
Fractional positions:
Sc: 0.5000 0.0000 0.0000  2 Cd 2.74
Sc: 0.0000 0.0000 0.5000  2 Cd 2.74
Cd: 0.0000 0.0000 0.0000  2 W 2.68, 4 Sc 2.74
Cs: 0.5000 0.5000 0.5000  8 Sc 3.83, 4 W 3.87
W: 0.0000 0.5000 0.0000  2 Cd 2.68



This record from Alexandria via LeMat-Bulk describes a relaxed CsY2ScCd crystal. The functional is PBE.

Properties
Space group ... P4/mmm
E_tot ... -2.87 eV per atom

Lattice parameters (Å, degrees): 5.6193 5.7719 5.6193 90.00 90.00 90.00
Last column: nearest neighbours and their distance in Å.
Fractional positions:
Cs: 0.0000 0.0000 0.0000  4 Y 2.81, 2 Cd 2.89
Cd: 0.0000 0.5000 0.0000  2 Cs 2.89
Sc: 0.5000 0.5000 0.5000  4 Cd 3.97, 8 Y 4.03
Y: 0.0000 0.0000 0.5000  2 Cs 2.81
Y: 0.5000 0.0000 0.0000  2 Cs 2.81



This record from Alexandria via LeMat-Bulk describes a relaxed Cs2CdSe2 crystal. The functional is PBE.

Properties
Space group ... P4/mbm
E_tot ... -2.28 eV per atom

Lattice parameters (Å, degrees): 10.8787 10.8787 3.3363 90.00 90.00 90.00
Last column: nearest neighbours and their distance in Å.
Fractional positions:
Se: 0.3390 0.1610 0.5000  2 Se 3.34, 6 Cs 3.55-3.64
Se: 0.1610 0.6610 0.5000  2 Se 3.34, 6 Cs 3.55-3.64
Se: 0.6610 0.8390 0.5000  2 Se 3.34, 6 Cs 3.55-3.64
Se: 0.8390 0.3390 0.5000  2 Se 3.34, 6 Cs 3.55-3.64
Cs: 0.3647 0.8647 0.0000  2 Cs 3.34, 6 Se 3.55-3.64
Cs: 0.8647 0.6353 0.0000  2 Cs 3.34, 6 Se 3.55-3.64
Cs: 0.6353 0.1353 0.0000  2 Cs 3.34, 6 Se 3.55-3.64
Cs: 0.1353 0.3647 0.0000  2 Cs 3.34, 6 Se 3.55-3.64
Cd: 0.0000 0.0000 0.0000  2 Cd 3.34
Cd: 0.5000 0.5000 0.0000  2 Cd 3.34



This record from Alexandria via LeMat-Bulk describes a relaxed CsCdSe crystal. The functional is PBE.

Properties
Space group ... Pnma
Energy above the lowest structure with this stoichiometry ... 210.1 meV per atom

Lattice parameters (Å, degrees): 4.7083 7.8526 13.4850 90.00 90.00 90.00
Last column: nearest neighbours and their distance in Å.
Fractional positions:
Cd: 0.2500 0.9454 0.8917  3 Se 2.78-2.79
Cd: 0.7500 0.5546 0.3917  3 Se 2.78-2.79
Cd: 0.2500 0.4454 0.6083  3 Se 2.78-2.79
Cd: 0.7500 0.0546 0.1083  3 Se 2.78-2.79
Se: 0.2500 0.1995 0.0351  3 Cd 2.78-2.79
Se: 0.7500 0.3005 0.5351  3 Cd 2.78-2.79
Se: 0.2500 0.6995 0.4649  3 Cd 2.78-2.79
Se: 0.7500 0.8005 0.9649  3 Cd 2.78-2.79
Cs: 0.7500 0.8791 0.6455  3 Se 3.63-3.67
Cs: 0.2500 0.1209 0.3545  3 Se 3.63-3.67
Cs: 0.7500 0.3791 0.8545  3 Se 3.63-3.67
Cs: 0.2500 0.6209 0.1455  3 Se 3.63-3.67



This record from Alexandria via LeMat-Bulk describes a relaxed Cs2CdSe2 crystal. The functional is PBE.

Properties
Space group ... I4/mmm
E_tot ... -2.82 eV per atom

Lattice parameters (Å, degrees): 6.9705 6.9705 8.6430 66.22 66.22 90.00
Last column: nearest neighbours and their distance in Å.
Fractional positions:
Cs: 0.7500 0.2500 0.5000  4 Se 3.65
Cs: 0.2500 0.7500 0.5000  4 Se 3.65
Se: 0.1726 0.1726 0.6549  1 Cd 2.45
Se: 0.8274 0.8274 0.3451  1 Cd 2.45
Cd: 0.0000 0.0000 0.0000  2 Se 2.45



This record from Alexandria via LeMat-Bulk describes a relaxed CsCd2Se2 crystal. The functional is PBE.

Properties
Space group ... P4/mbm
Energy above the lowest structure with this stoichiometry ... 139.8 meV per atom

Lattice parameters (Å, degrees): 9.4507 9.4507 4.2383 90.00 90.00 90.00
Last column: nearest neighbours and their distance in Å.
Fractional positions:
Se: 0.7165 0.2165 0.5000  2 Cd 2.60
Se: 0.2835 0.7835 0.5000  2 Cd 2.60
Se: 0.7835 0.7165 0.5000  2 Cd 2.60
Se: 0.2165 0.2835 0.5000  2 Cd 2.60
Cd: 0.3962 0.8962 0.0000  2 Se 2.60, 1 Cd 2.77
Cd: 0.1038 0.3962 0.0000  2 Se 2.60, 1 Cd 2.77
Cd: 0.6038 0.1038 0.0000  2 Se 2.60, 1 Cd 2.77
Cd: 0.8962 0.6038 0.0000  2 Se 2.60, 1 Cd 2.77
Cs: 0.0000 0.0000 0.0000  4 Cd 3.87, 8 Se 3.98, 2 Cs 4.24
Cs: 0.5000 0.5000 0.0000  4 Cd 3.87, 8 Se 3.98, 2 Cs 4.24



This record from Alexandria via LeMat-Bulk describes a relaxed CsCdSe crystal. The functional is PBE.

Properties
Space group ... C2/m
Energy above the lowest structure with this stoichiometry ... 50.2 meV per atom

Lattice parameters (Å, degrees): 4.7866 5.9712 16.3246 90.00 91.19 90.00
Last column: nearest neighbours and their distance in Å.
Fractional positions:
Se: 0.0005 0.5000 0.6335  2 Cd 2.70
Se: 0.0005 0.0000 0.1335  2 Cd 2.70
Se: 0.9995 0.0000 0.8665  2 Cd 2.70
Se: 0.9995 0.5000 0.3665  2 Cd 2.70
Cd: 0.0000 0.2677 0.0000  2 Se 2.70, 1 Cd 2.77
Cd: 0.0000 0.7323 0.0000  2 Se 2.70, 1 Cd 2.77
Cd: 0.0000 0.7677 0.5000  2 Se 2.70, 1 Cd 2.77
Cd: 0.0000 0.2323 0.5000  2 Se 2.70, 1 Cd 2.77
Cs: 0.5140 0.5000 0.1735  6 Se 3.85-4.04, 2 Cs 3.90, 4 Cd 3.95-3.96
Cs: 0.5140 0.0000 0.6735  6 Se 3.85-4.04, 2 Cs 3.90, 4 Cd 3.95-3.96
Cs: 0.4860 0.0000 0.3265  6 Se 3.85-4.04, 2 Cs 3.90, 4 Cd 3.95-3.96
Cs: 0.4860 0.5000 0.8265  6 Se 3.85-4.04, 2 Cs 3.90, 4 Cd 3.95-3.96



This record from Alexandria via LeMat-Bulk describes a relaxed CsCdSe crystal. The functional is PBE.

Properties
Space group ... Cm
Energy above the lowest structure with this stoichiometry ... 185.9 meV per atom

Lattice parameters (Å, degrees): 5.3992 5.2362 5.2367 90.03 90.10 90.11
Last column: nearest neighbours and their distance in Å.
Fractional positions:
Se: 0.0482 0.3058 0.0848  2 Cd 2.70
Cd: 0.5484 0.3057 0.0849  2 Se 2.70
Cs: 0.0520 0.8054 0.5847  4 Se 3.70



Across the entries above, total magnetization takes the values 2.0; 0.0; 0.0; 0.0; 0.0; 0.0; 0.0; 0.0 μB/f.u., respectively.